1.
# Nb4TlBrO5

A relaxed structure of Nb4TlBrO5 (GGA-PBE, the Open Quantum Materials Database).

Unit cell a=4.2235 b=4.2235 c=9.5033 alpha=90.00 beta=90.00 gamma=90.00
Fractional coordinates of all 11 atoms:
Nb: 0.0000 0.0000 0.2101
Nb: 0.0000 0.0000 0.7899
Nb: 0.0000 0.5000 0.0000
Nb: 0.5000 0.0000 0.0000
Tl: 0.5000 0.5000 0.5000
Br: 0.0000 0.0000 0.5000
O: 0.0000 0.5000 0.2206
O: 0.0000 0.5000 0.7794
O: 0.5000 0.0000 0.2206
O: 0.5000 0.0000 0.7794
O: 0.5000 0.5000 0.0000

Values from the calculation:
- Total DFT energy (no corrections): -88.85 eV/f.u.

2.
# RbNbBr3

A relaxed structure of RbNbBr3 (GGA-PBE, the Open Quantum Materials Database).

Unit cell a=8.5580 b=8.5580 c=8.5580 alpha=50.94 beta=50.94 gamma=50.94
Fractional coordinates of all 10 atoms:
Rb: 0.1490 0.1490 0.1490
Rb: 0.8510 0.8510 0.8510
Nb: 0.3342 0.3342 0.3342
Nb: 0.6658 0.6658 0.6658
Br: 0.0655 0.6930 0.4437
Br: 0.3070 0.5563 0.9345
Br: 0.4437 0.0655 0.6930
Br: 0.5563 0.9345 0.3070
Br: 0.6930 0.4437 0.0655
Br: 0.9345 0.3070 0.5563

Values from the calculation:
- Distance to the lowest polymorph of the same formula: 0.0018 eV/atom

3.
# RbNbBr3

A relaxed structure of RbNbBr3 (GGA-PBE, the Open Quantum Materials Database).

Unit cell a=7.4821 b=7.4821 c=7.4821 alpha=62.56 beta=62.56 gamma=62.56
Fractional coordinates of all 10 atoms:
Rb: 0.2500 0.2500 0.2500
Rb: 0.7500 0.7500 0.7500
Nb: 0.0000 0.0000 0.0000
Nb: 0.5000 0.5000 0.5000
Br: 0.1796 0.7500 0.3204
Br: 0.2500 0.6796 0.8204
Br: 0.3204 0.1796 0.7500
Br: 0.6796 0.8204 0.2500
Br: 0.7500 0.3204 0.1796
Br: 0.8204 0.2500 0.6796

Values from the calculation:
- Distance to the lowest polymorph of the same formula: 0.0097 eV/atom

4.
# RbNbBr3

A relaxed structure of RbNbBr3 (GGA-PBE, the Open Quantum Materials Database).

Unit cell a=7.6777 b=12.7462 c=7.6870 alpha=90.00 beta=90.00 gamma=90.00
Fractional coordinates of all 20 atoms:
Rb: 0.0000 0.0000 0.0000
Rb: 0.0000 0.5000 0.0000
Rb: 0.5000 0.0000 0.5000
Rb: 0.5000 0.5000 0.5000
Nb: 0.0437 0.2500 0.4660
Nb: 0.4563 0.7500 0.9660
Nb: 0.5437 0.2500 0.0340
Nb: 0.9563 0.7500 0.5340
Br: 0.1335 0.6089 0.3669
Br: 0.1335 0.8911 0.3669
Br: 0.1362 0.7500 0.8340
Br: 0.3638 0.2500 0.3340
Br: 0.3665 0.1089 0.8669
Br: 0.3665 0.3911 0.8669
Br: 0.6335 0.6089 0.1331
Br: 0.6335 0.8911 0.1331
Br: 0.6362 0.7500 0.6660
Br: 0.8638 0.2500 0.1660
Br: 0.8665 0.1089 0.6331
Br: 0.8665 0.3911 0.6331

Values from the calculation:
- Distance to the lowest polymorph of the same formula: 0.2008 eV/atom

5.
# RbNbBr3

A relaxed structure of RbNbBr3 (GGA-PBE, the Open Quantum Materials Database).

Unit cell a=6.0123 b=6.0123 c=6.0123 alpha=90.00 beta=90.00 gamma=90.00
Fractional coordinates of all 5 atoms:
Rb: 0.0000 0.0000 0.0000
Nb: 0.5000 0.5000 0.5000
Br: 0.0000 0.0000 0.5000
Br: 0.0000 0.5000 0.0000
Br: 0.5000 0.0000 0.0000

Values from the calculation:
- Distance to the lowest polymorph of the same formula: 1.4310 eV/atom

6.
# RbNb4Br11

A relaxed structure of RbNb4Br11 (GGA-PBE, the Open Quantum Materials Database).

Unit cell a=16.9976 b=7.3393 c=7.0577 alpha=90.00 beta=90.00 gamma=90.00
Fractional coordinates of all 32 atoms:
Rb: 0.2500 0.0000 0.0020
Rb: 0.7500 0.0000 0.9980
Nb: 0.0000 0.2914 0.5000
Nb: 0.0000 0.7086 0.5000
Nb: 0.1393 0.5000 0.3807
Nb: 0.3607 0.5000 0.3807
Nb: 0.5000 0.2914 0.5000
Nb: 0.5000 0.7086 0.5000
Nb: 0.6393 0.5000 0.6193
Nb: 0.8607 0.5000 0.6193
Br: 0.0793 0.2443 0.1792
Br: 0.0793 0.7557 0.1792
Br: 0.0847 0.0000 0.6409
Br: 0.0858 0.5000 0.7224
Br: 0.2500 0.2634 0.5181
Br: 0.2500 0.5000 0.0867
Br: 0.2500 0.7366 0.5181
Br: 0.4142 0.5000 0.7224
Br: 0.4153 0.0000 0.6409
Br: 0.4207 0.2443 0.1792
Br: 0.4207 0.7557 0.1792
Br: 0.5793 0.2443 0.8208
Br: 0.5793 0.7557 0.8208
Br: 0.5847 0.0000 0.3591
Br: 0.5858 0.5000 0.2776
Br: 0.7500 0.2634 0.4819
Br: 0.7500 0.5000 0.9133
Br: 0.7500 0.7366 0.4819
Br: 0.9142 0.5000 0.2776
Br: 0.9153 0.0000 0.3591
Br: 0.9207 0.2443 0.8208
Br: 0.9207 0.7557 0.8208

Values from the calculation:
- Total DFT energy (no corrections): -75.55 eV/f.u.

7.
# RbNbBr3

A relaxed structure of RbNbBr3 (GGA-PBE, the Open Quantum Materials Database).

Unit cell a=7.7011 b=10.7565 c=7.4899 alpha=90.00 beta=90.00 gamma=90.00
Fractional coordinates of all 20 atoms:
Rb: 0.0658 0.2500 0.0246
Rb: 0.4342 0.7500 0.5246
Rb: 0.5658 0.2500 0.4754
Rb: 0.9342 0.7500 0.9754
Nb: 0.0000 0.0000 0.5000
Nb: 0.0000 0.5000 0.5000
Nb: 0.5000 0.0000 0.0000
Nb: 0.5000 0.5000 0.0000
Br: 0.0009 0.7500 0.4198
Br: 0.2026 0.5363 0.8001
Br: 0.2026 0.9637 0.8001
Br: 0.2974 0.0363 0.3001
Br: 0.2974 0.4637 0.3001
Br: 0.4991 0.2500 0.9198
Br: 0.5009 0.7500 0.0802
Br: 0.7026 0.5363 0.6999
Br: 0.7026 0.9637 0.6999
Br: 0.7974 0.0363 0.1999
Br: 0.7974 0.4637 0.1999
Br: 0.9991 0.2500 0.5802

Values from the calculation:
- Distance to the lowest polymorph of the same formula: 0.0000 eV/atom

8.
# RbNbBr3

A relaxed structure of RbNbBr3 (GGA-PBE, the Open Quantum Materials Database).

Unit cell a=5.4010 b=5.4010 c=5.5271 alpha=90.00 beta=90.00 gamma=90.00
Fractional coordinates of all 5 atoms:
Rb: 0.0000 0.0000 0.0000
Nb: 0.5000 0.5000 0.4827
Br: 0.0000 0.5000 0.5430
Br: 0.5000 0.0000 0.5430
Br: 0.5000 0.5000 0.9990

Values from the calculation:
- Distance to the lowest polymorph of the same formula: 0.0422 eV/atom

no.,magnetization (Bohr magnetons per cell)
1,0.0
2,6.0
3,6.0
4,12.0
5,3.0
6,0.0
7,12.0
8,3.0